[1]
VASP calculation (PBE) on a relaxed TmPaGaPb crystal.

Lattice parameters (Å, degrees): 5.233 5.233 5.233 60.00 60.00 60.00
Site moments in Bohr magnetons follow the coordinates.
Positions (direct):
Ga1 0.250 0.250 0.250  0.03
Pa1 0.000 0.000 0.000  1.12
Tm1 0.500 0.500 0.500  0.28
Pb1 0.750 0.750 0.750  0.02

Output
As for the space group: F-43m. For the final energy, the calculation gives -21.1 eV per cell. The value obtained for the mass density is 11.1 g cm⁻³.

***

[2]
VASP calculation (PBE) on a relaxed As2HPd crystal.

Lattice parameters (Å, degrees): 4.320 4.320 4.320 60.00 60.00 60.00
Positions (direct):
As1 0.250 0.250 0.250
As2 0.750 0.750 0.750
Pd1 0.500 0.500 0.500
H1 0.000 0.000 0.000

Output
The offset from the most stable computed form is 0.2435 eV per atom. As for the space group: Fm-3m. For the final energy, the calculation gives -16.9 eV per cell. The value obtained for the mass density is 7.5 g cm⁻³.

***

[3]
VASP calculation (PBE) on a relaxed Tl4Bi2Pb crystal.

Lattice parameters (Å, degrees): 7.569 6.807 6.807 72.01 56.23 56.23
Positions (direct):
Tl1 0.500 0.500 0.000
Tl2 0.000 0.000 0.500
Tl3 0.000 0.500 0.000
Tl4 0.500 0.000 0.500
Bi1 0.000 0.500 0.500
Bi2 0.500 0.500 0.500
Pb1 0.000 0.000 0.000

Output
The offset from the most stable computed form is 0.0340 eV per atom. As for the space group: I4/mmm. For the final energy, the calculation gives -20.4 eV per cell. The value obtained for the mass density is 9.9 g cm⁻³.

***

[4]
VASP calculation (PBE) on a relaxed Y3Tm2Mg7 crystal.

Lattice parameters (Å, degrees): 3.642 5.150 17.840 98.15 90.00 90.00
Positions (direct):
Mg1 0.000 0.576 0.141
Mg2 0.000 0.000 0.000
Mg3 0.500 0.912 0.837
Mg4 0.000 0.424 0.859
Mg5 0.500 0.270 0.541
Mg6 0.500 0.730 0.459
Mg7 0.500 0.088 0.163
Tm1 0.500 0.646 0.286
Tm2 0.500 0.354 0.714
Y1 0.000 0.814 0.631
Y2 0.500 0.500 0.000
Y3 0.000 0.186 0.369

Output
As for the space group: P2/m. For the final energy, the calculation gives -38.7 eV per cell. The value obtained for the mass density is 3.9 g cm⁻³.

***

[5]
VASP calculation (PBE) on a relaxed Dy3HoSc6 crystal.

Lattice parameters (Å, degrees): 9.249 9.249 6.529 44.90 44.90 60.00
Positions (direct):
Sc1 0.432 0.767 0.703
Sc2 0.767 0.098 0.703
Sc3 0.932 0.599 0.202
Sc4 0.098 0.432 0.703
Sc5 0.599 0.267 0.202
Sc6 0.267 0.932 0.202
Dy1 0.601 0.601 0.198
Dy2 0.101 0.101 0.697
Dy3 0.351 0.351 0.946
Ho1 0.851 0.851 0.446

Output
The offset from the most stable computed form is 0.2477 eV per atom. As for the space group: R3. For the final energy, the calculation gives -52.3 eV per cell. The value obtained for the mass density is 5.5 g cm⁻³.

***

[6]
VASP calculation (PBE) on a relaxed Be3Hg crystal.

Lattice parameters (Å, degrees): 4.402 4.402 4.402 131.59 131.59 70.88
Positions (direct):
Be1 0.500 0.500 0.000
Be2 0.250 0.750 0.500
Be3 0.750 0.250 0.500
Hg1 0.000 0.000 0.000

Output
The offset from the most stable computed form is 0.1894 eV per atom. As for the space group: I4/mmm. For the final energy, the calculation gives -9.7 eV per cell. The value obtained for the mass density is 8.1 g cm⁻³.